Entry 1:
La3Er4 after structural relaxation, computed with PBE.

The structure belongs to space group R-3 (No. 148, hexagonal axes); the cell edges are 15.1147, 15.1147 and 7.1028 Å and the angles 90.00°, 90.00° and 120.00°. The distinct sites, in fractional coordinates, are La at (0.0519, 0.2254, 0.2182), Er at (0.0000, 0.0000, 0.0000), Er at (0.0000, 0.0000, 0.5000) and Er at (0.0552, 0.2553, 0.6930).

The calculation puts the electronic total energy at -4.637 eV per atom. The value obtained for the mass density is 7.70 g cm⁻³. The formation enthalpy at 0 K comes out at 0.6 eV/f.u.



Entry 2:
LiNdPaO4 after structural relaxation, computed with PBE.

The structure belongs to space group Imma (No. 74); the cell edges are 6.9486, 7.0419 and 10.5190 Å and the angles 90.00°, 90.00° and 90.00°. The distinct sites, in fractional coordinates, are Li at (0.0000, 0.2500, 0.0432), Nd at (0.0000, 0.0000, 0.5000), Pa at (0.2500, 0.2500, 0.7500), O at (0.0000, 0.0487, 0.7272) and O at (0.2445, 0.2500, 0.5371).

The calculation puts the electronic total energy at -8.076 eV per atom. The value obtained for the mass density is 5.76 g cm⁻³.



Entry 3:
LaHf2AgPt after structural relaxation, computed with PBE.

The structure belongs to space group P4/mmm (No. 123); the cell edges are 5.1229, 5.1229 and 5.1421 Å and the angles 90.00°, 90.00° and 90.00°. The distinct sites, in fractional coordinates, are La at (0.0000, 0.0000, 0.0000), Hf at (0.0000, 0.5000, 0.0000), Ag at (0.0000, 0.0000, 0.5000) and Pt at (0.5000, 0.5000, 0.5000).

The calculation puts the electronic total energy at -4.995 eV per atom. The value obtained for the mass density is 9.83 g cm⁻³. The formation enthalpy at 0 K comes out at 8.8 eV/f.u.



Entry 4:
Ce3NdFe after structural relaxation, computed with PBE.

The structure belongs to space group Pm-3m (No. 221); the cell edges are 5.2060, 5.2060 and 5.2060 Å and the angles 90.00°, 90.00° and 90.00°. The distinct sites, in fractional coordinates, are Ce at (0.0000, 0.0000, 0.5000), Nd at (0.5000, 0.5000, 0.5000) and Fe at (0.0000, 0.0000, 0.0000).

The calculation puts the electronic total energy at -6.106 eV per atom. The value obtained for the mass density is 7.30 g cm⁻³. The formation enthalpy at 0 K comes out at 0.5 eV/f.u.



Entry 5:
AcAlSiIr after structural relaxation, computed with PBE.

The structure belongs to space group Imm2 (No. 44); the cell edges are 3.9902, 4.6717 and 9.9911 Å and the angles 90.00°, 90.00° and 90.00°. The distinct sites, in fractional coordinates, are Ac at (0.0000, 0.0000, 0.0000), Al at (0.0000, 0.0000, 0.3551), Si at (0.0000, 0.5000, 0.2347) and Ir at (0.0000, 0.0000, 0.6041).

The calculation puts the electronic total energy at -6.024 eV per atom. The value obtained for the mass density is 8.46 g cm⁻³.



Entry 6:
Nd4HgBi after structural relaxation, computed with PBE.

The structure belongs to space group C2/c (No. 15); the cell edges are 8.9992, 14.3427 and 6.3461 Å and the angles 90.00°, 111.51° and 90.00°. The distinct sites, in fractional coordinates, are Nd at (0.1031, 0.1901, 0.0596), Nd at (0.1965, 0.4102, 0.3607), Hg at (0.0000, 0.0018, 0.7500) and Bi at (0.0000, 0.3857, 0.7500).

The calculation puts the electronic total energy at -4.281 eV per atom. The value obtained for the mass density is 8.60 g cm⁻³. The formation enthalpy at 0 K comes out at -2.4 eV/f.u.



Entry 7:
CaSnP after structural relaxation, computed with PBE.

The structure belongs to space group Cmcm (No. 63); the cell edges are 5.7692, 8.2848 and 6.0428 Å and the angles 90.00°, 90.00° and 90.00°. The distinct sites, in fractional coordinates, are Ca at (0.0000, 0.1517, 0.2500), Sn at (0.0000, 0.5000, 0.0000) and P at (0.0000, 0.2008, 0.7500).

The calculation puts the electronic total energy at -4.286 eV per atom. The value obtained for the mass density is 4.36 g cm⁻³. The formation enthalpy at 0 K comes out at -1.4 eV/f.u.



Entry 8:
HoU3Tl3Se8 after structural relaxation, computed with PBE.

The structure belongs to space group R-3m (No. 166, hexagonal axes); the cell edges are 8.3058, 8.3058 and 23.5901 Å and the angles 90.00°, 90.00° and 120.00°. The distinct sites, in fractional coordinates, are Ho at (0.0000, 0.0000, 0.0000), U at (0.0000, 0.5000, 0.0000), Tl at (0.0000, 0.5000, 0.5000), Se at (0.0000, 0.0000, 0.2647) and Se at (0.0001, 0.5001, 0.2658).

The calculation puts the electronic total energy at -5.969 eV per atom. The value obtained for the mass density is 7.51 g cm⁻³.